# 1
VASP calculation (GGA-PBE) on an optimized crystal structure of TmTa2MoC4.

Geometry as CIF:
```
data_TmTa2MoC4
_chemical_formula_sum 'Tm4 Ta8 Mo4 C16'
_cell_length_a 3.195
_cell_length_b 11.323
_cell_length_c 11.360
_cell_angle_alpha 90.00
_cell_angle_beta 90.00
_cell_angle_gamma 90.00
_symmetry_space_group_name_H-M 'C m c m'
_symmetry_Int_Tables_number 63
_symmetry_space_group_name_Hall '-C 2c 2'
loop_
_atom_site_label
_atom_site_fract_x
_atom_site_fract_y
_atom_site_fract_z
Tm1 0.000 0.118 0.250
Ta1 0.000 0.370 0.033
Mo1 0.000 0.149 0.750
C1 0.000 0.000 0.000
C2 0.000 0.261 0.615
C3 0.000 0.460 0.250
```

energy relative to the elements = -271 meV/atom



# 2
VASP calculation (GGA-PBE) on an optimized crystal structure of Hf5Zr2N2.

Geometry as CIF:
```
data_Hf5Zr2N2
_chemical_formula_sum 'Hf10 Zr4 N4'
_cell_length_a 10.301
_cell_length_b 4.445
_cell_length_c 7.261
_cell_angle_alpha 90.00
_cell_angle_beta 98.04
_cell_angle_gamma 90.00
_symmetry_space_group_name_H-M 'C 1 2/m 1'
_symmetry_Int_Tables_number 12
loop_
_symmetry_equiv_pos_as_xyz
'x,y,z'
'-x,-y,-z'
'-x,y,-z'
'x,-y,z'
'x+1/2,y+1/2,z'
'-x+1/2,-y+1/2,-z'
'-x+1/2,y+1/2,-z'
'x+1/2,-y+1/2,z'
loop_
_atom_site_label
_atom_site_fract_x
_atom_site_fract_y
_atom_site_fract_z
Hf1 0.000 0.000 0.000
Hf2 0.142 0.000 0.418
Hf3 0.217 0.500 0.134
Zr1 0.077 0.500 0.705
N1 0.210 0.000 0.140
```

uncorrected formation energy = -0.779 eV per atom



# 3
VASP calculation (GGA-PBE) on an optimized crystal structure of TaIr2.

Geometry as CIF:
```
data_TaIr2
_chemical_formula_sum 'Ta8 Ir16'
_cell_length_a 3.919
_cell_length_b 3.919
_cell_length_c 24.243
_cell_angle_alpha 90.00
_cell_angle_beta 90.00
_cell_angle_gamma 90.00
_symmetry_space_group_name_H-M 'I 41/a m d'
_symmetry_Int_Tables_number 141
loop_
_symmetry_equiv_pos_as_xyz
'x,y,z'
'-x,-y,-z'
'-y+1/4,x+3/4,z+1/4'
'y+1/4,-x+3/4,-z+1/4'
'-x+1/2,-y,z+1/2'
'x+1/2,y,-z+1/2'
'y+1/4,-x+1/4,z+3/4'
'-y+1/4,x+1/4,-z+3/4'
'x,-y,-z'
'-x,y,z'
'-y+1/4,-x+1/4,-z+3/4'
'y+1/4,x+1/4,z+3/4'
'-x+1/2,y,-z+1/2'
'x+1/2,-y,z+1/2'
'y+1/4,x+3/4,-z+1/4'
'-y+1/4,-x+3/4,z+1/4'
'x+1/2,y+1/2,z+1/2'
'-x+1/2,-y+1/2,-z+1/2'
'-y+3/4,x+1/4,z+3/4'
'y+3/4,-x+1/4,-z+3/4'
'-x,-y+1/2,z'
'x,y+1/2,-z'
'y+3/4,-x+3/4,z+1/4'
'-y+3/4,x+3/4,-z+1/4'
'x+1/2,-y+1/2,-z+1/2'
'-x+1/2,y+1/2,z+1/2'
'-y+3/4,-x+3/4,-z+1/4'
'y+3/4,x+3/4,z+1/4'
'-x,y+1/2,-z'
'x,-y+1/2,z'
'y+3/4,x+1/4,-z+3/4'
'-y+3/4,-x+1/4,z+3/4'
loop_
_atom_site_label
_atom_site_fract_x
_atom_site_fract_y
_atom_site_fract_z
Ta1 0.000 0.250 0.297
Ir1 0.000 0.250 0.125
Ir2 0.000 0.250 0.792
```

energy relative to the elements = -658 meV/atom



# 4
VASP calculation (GGA-PBE) on an optimized crystal structure of TlAg2Au.

Geometry as CIF:
```
data_TlAg2Au
_chemical_formula_sum 'Tl1 Ag2 Au1'
_cell_length_a 3.432
_cell_length_b 3.432
_cell_length_c 6.988
_cell_angle_alpha 90.00
_cell_angle_beta 90.00
_cell_angle_gamma 90.00
_symmetry_space_group_name_H-M 'P 4/m m m'
_symmetry_Int_Tables_number 123
_symmetry_space_group_name_Hall '-P 4 2'
loop_
_atom_site_label
_atom_site_fract_x
_atom_site_fract_y
_atom_site_fract_z
Tl1 0.000 0.000 0.000
Ag1 0.500 0.500 0.281
Au1 0.000 0.000 0.500
```

energy relative to the elements = 63 meV/atom



# 5
VASP calculation (GGA-PBE) on an optimized crystal structure of Nd4ScCu5.

Geometry as CIF:
```
data_Nd4ScCu5
_chemical_formula_sum 'Nd4 Sc1 Cu5'
_cell_length_a 3.500
_cell_length_b 3.500
_cell_length_c 17.880
_cell_angle_alpha 90.00
_cell_angle_beta 90.00
_cell_angle_gamma 90.00
_symmetry_space_group_name_H-M 'P 4/m m m'
_symmetry_Int_Tables_number 123
_symmetry_space_group_name_Hall '-P 4 2'
loop_
_atom_site_label
_atom_site_fract_x
_atom_site_fract_y
_atom_site_fract_z
Nd1 0.000 0.000 0.103
Nd2 0.000 0.000 0.310
Sc1 0.000 0.000 0.500
Cu1 0.500 0.500 0.000
Cu2 0.500 0.500 0.206
Cu3 0.500 0.500 0.422
```

energy relative to the elements = -153 meV/atom



# 6
VASP calculation (GGA-PBE) on an optimized crystal structure of SiSnSe4.

Geometry as CIF:
```
data_SiSnSe4
_chemical_formula_sum 'Si2 Sn2 Se8'
_cell_length_a 6.037
_cell_length_b 6.037
_cell_length_c 9.725
_cell_angle_alpha 90.00
_cell_angle_beta 90.00
_cell_angle_gamma 90.00
_symmetry_space_group_name_H-M 'P -4 2 c'
_symmetry_Int_Tables_number 112
loop_
_symmetry_equiv_pos_as_xyz
'x,y,z'
'y,-x,-z'
'-x,-y,z'
'-y,x,-z'
'x,-y,-z+1/2'
'y,x,z+1/2'
'-x,y,-z+1/2'
'-y,-x,z+1/2'
loop_
_atom_site_label
_atom_site_fract_x
_atom_site_fract_y
_atom_site_fract_z
Si1 0.000 0.500 0.250
Sn1 0.000 0.000 0.000
Se1 0.248 0.285 0.371
```

uncorrected formation energy = -0.366 eV per atom



no.,raw total energy (eV/atom)
1,-9.759
2,-10.059
3,-10.516
4,-2.773
5,-4.741
6,-4.260